# Li2TcPt meta-GGA SCAN single point on PBEsol structure
# Calculated total energy = -221.74 eV/cell
# Energy of formation = -0.210 eV/atom
# Distance to the lowest polymorph of the same formula = 0.0 kJ/mol of atoms
# Size of the total moment = 0.541 μB/f.u.
data_Li2TcPt
_symmetry_space_group_name_H-M 'I m m m'
_symmetry_Int_Tables_number 71
_symmetry_space_group_name_Hall '-I 2 2'
_cell_length_a 2.6504
_cell_length_b 4.5686
_cell_length_c 9.1370
_cell_angle_alpha 90.00
_cell_angle_beta 90.00
_cell_angle_gamma 90.00
loop_
_atom_site_label
_atom_site_type_symbol
_atom_site_fract_x
_atom_site_fract_y
_atom_site_fract_z
Li1 Li 0.0000 0.0000 0.2405
Tc1 Tc 0.0000 0.5000 0.0000
Pt1 Pt 0.0000 0.5000 0.5000

---

# Mg2TaAu meta-GGA SCAN single point on PBEsol structure
# Calculated total energy = -145.82 eV/cell
# Energy of formation = -0.032 eV/atom
# Distance to the lowest polymorph of the same formula = 0.9 kJ/mol of atoms
# Size of the total moment = 0.000 μB/f.u.
data_Mg2TaAu
_symmetry_space_group_name_H-M 'P 1 m 1'
_symmetry_Int_Tables_number 6
_symmetry_space_group_name_Hall 'P -2y'
_cell_length_a 2.8956
_cell_length_b 4.4432
_cell_length_c 5.8470
_cell_angle_alpha 90.00
_cell_angle_beta 104.33
_cell_angle_gamma 90.00
loop_
_atom_site_label
_atom_site_type_symbol
_atom_site_fract_x
_atom_site_fract_y
_atom_site_fract_z
Mg1 Mg 0.0000 0.0000 0.0000
Mg2 Mg 0.3864 0.5000 0.7688
Ta1 Ta 0.6446 0.5000 0.2921
Au1 Au 0.2410 0.0000 0.4893

---

Which formula does entry 1 have? Li2TcPt

---

Repeat the second record exactly.
# Mg2TaAu meta-GGA SCAN single point on PBEsol structure
# Calculated total energy = -145.82 eV/cell
# Energy of formation = -0.032 eV/atom
# Distance to the lowest polymorph of the same formula = 0.9 kJ/mol of atoms
# Size of the total moment = 0.000 μB/f.u.
data_Mg2TaAu
_symmetry_space_group_name_H-M 'P 1 m 1'
_symmetry_Int_Tables_number 6
_symmetry_space_group_name_Hall 'P -2y'
_cell_length_a 2.8956
_cell_length_b 4.4432
_cell_length_c 5.8470
_cell_angle_alpha 90.00
_cell_angle_beta 104.33
_cell_angle_gamma 90.00
loop_
_atom_site_label
_atom_site_type_symbol
_atom_site_fract_x
_atom_site_fract_y
_atom_site_fract_z
Mg1 Mg 0.0000 0.0000 0.0000
Mg2 Mg 0.3864 0.5000 0.7688
Ta1 Ta 0.6446 0.5000 0.2921
Au1 Au 0.2410 0.0000 0.4893

---

Look up the energy of formation of the first one. -0.210 eV/atom

---

Number 2 is which compound? Mg2TaAu